Record 1
Compound: VCu3Se4
Source: the Alexandria database
Functional: PBEsol
Structure: optimized geometry

Properties
Calculated volume, Å³/cell: 166.6
Uncorrected formation energy, meV per atom: -459
E, eV/atom: -5.2139
Space-group type: P-43m

abc: 5.5026 5.5026 5.5026
angles: 90.00 90.00 90.00
Last column: nearest neighbours and their distance in Å.
Positions (direct):
V: 0.0000 0.0000 0.0000  4 Se 2.35
Cu: 0.0000 0.0000 0.5000  4 Se 2.37
Cu: 0.0000 0.5000 0.0000  4 Se 2.37
Cu: 0.5000 0.0000 0.0000  4 Se 2.37
Se: 0.2467 0.2467 0.2467  1 V 2.35, 3 Cu 2.37
Se: 0.2467 0.7533 0.7533  1 V 2.35, 3 Cu 2.37
Se: 0.7533 0.2467 0.7533  1 V 2.35, 3 Cu 2.37
Se: 0.7533 0.7533 0.2467  1 V 2.35, 3 Cu 2.37



Record 2
Compound: Cu2WSe4
Source: the Alexandria database
Functional: PBEsol
Structure: optimized geometry

Properties
Calculated volume, Å³/cell: 161.7
Uncorrected formation energy, meV per atom: -279
E, eV/atom: -5.6896
Space-group type: I-42m

abc: 6.6311 6.6311 6.6311
angles: 131.17 131.17 71.55
Last column: nearest neighbours and their distance in Å.
Positions (direct):
Cu: 0.0000 0.5000 0.5000  4 Se 2.40
Cu: 0.5000 0.0000 0.5000  4 Se 2.40
W: 0.0000 0.0000 0.0000  4 Se 2.37
Se: 0.1130 0.1130 0.4893  1 W 2.37, 2 Cu 2.40
Se: 0.3764 0.8870 0.0000  1 W 2.37, 2 Cu 2.40
Se: 0.6236 0.6236 0.5107  1 W 2.37, 2 Cu 2.40
Se: 0.8870 0.3764 0.0000  1 W 2.37, 2 Cu 2.40



Record 3
Compound: CuW2Se
Source: the Alexandria database
Functional: PBEsol
Structure: optimized geometry

Properties
Calculated volume, Å³/cell: 60.0
Uncorrected formation energy, meV per atom: 583
E, eV/atom: -8.3665
Space-group type: Immm

abc: 5.1530 5.1530 5.1530
angles: 145.30 128.84 63.30
Last column: nearest neighbours and their distance in Å.
Positions (direct):
Cu: 0.0000 0.0000 0.0000  4 Se 2.70, 8 W 2.79-3.03
W: 0.2660 0.7660 0.5000  2 Se 2.56, 4 W 2.72, 2 Cu 2.79
W: 0.7340 0.2340 0.5000  2 Se 2.56, 4 W 2.72, 2 Cu 2.79
Se: 0.5000 0.5000 0.0000  4 W 2.56, 4 Cu 2.70



Record 4
Compound: CuW2Se
Source: the Alexandria database
Functional: PBEsol
Structure: optimized geometry

Properties
Calculated volume, Å³/cell: 60.3
Uncorrected formation energy, meV per atom: 516
E, eV/atom: -8.4334
Space-group type: Pm

abc: 2.9007 4.4756 4.6449
angles: 90.00 92.10 90.00
Last column: nearest neighbours and their distance in Å.
Positions (direct):
Cu: 0.0000 0.0000 0.0000  6 W 2.59-2.81, 4 Se 2.70-2.89, 2 Cu 2.90
W: 0.0945 0.5000 0.2775  3 Se 2.53-2.83, 2 Cu 2.59, 2 W 2.72
W: 0.4984 0.0000 0.5069  4 Cu 2.67-2.81, 2 Se 2.68, 4 W 2.72-2.90
Se: 0.5531 0.5000 0.8250  5 W 2.53-2.83, 2 Cu 2.70



Record 5
Compound: YCu3Se3
Source: the Alexandria database
Functional: PBEsol
Structure: optimized geometry

Properties
Calculated volume, Å³/cell: 264.8
Uncorrected formation energy, meV per atom: -747
E, eV/atom: -5.2292
Space-group type: R-3

abc: 7.6036 7.6036 7.6036
angles: 53.67 53.67 53.67
Last column: nearest neighbours and their distance in Å.
Positions (direct):
Y: 0.1664 0.1664 0.1664  6 Se 2.83-2.84
Y: 0.8336 0.8336 0.8336  6 Se 2.83-2.84
Cu: 0.0211 0.3708 0.7329  4 Se 2.40-2.48
Cu: 0.2671 0.9789 0.6292  4 Se 2.40-2.48
Cu: 0.3708 0.7329 0.0211  4 Se 2.40-2.48
Cu: 0.6292 0.2671 0.9789  4 Se 2.40-2.48
Cu: 0.7329 0.0211 0.3708  4 Se 2.40-2.48
Cu: 0.9789 0.6292 0.2671  4 Se 2.40-2.48
Se: 0.1000 0.7346 0.4199  4 Cu 2.40-2.48
Se: 0.2654 0.5801 0.9000  4 Cu 2.40-2.48
Se: 0.4199 0.1000 0.7346  4 Cu 2.40-2.48
Se: 0.5801 0.9000 0.2654  4 Cu 2.40-2.48
Se: 0.7346 0.4199 0.1000  4 Cu 2.40-2.48
Se: 0.9000 0.2654 0.5801  4 Cu 2.40-2.48



Record 6
Compound: ZnCuSe2
Source: the Alexandria database
Functional: PBEsol
Structure: optimized geometry

Properties
Calculated volume, Å³/cell: 167.9
Uncorrected formation energy, meV per atom: -346
E, eV/atom: -3.7499
Space-group type: I-42d

abc: 6.7552 6.7552 6.7552
angles: 131.78 131.78 70.57
Last column: nearest neighbours and their distance in Å.
Positions (direct):
Zn: 0.0000 0.0000 0.0000  4 Se 2.43
Zn: 0.7500 0.2500 0.5000  4 Se 2.43
Cu: 0.2500 0.7500 0.5000  4 Se 2.35
Cu: 0.5000 0.5000 0.0000  4 Se 2.35
Se: 0.1374 0.6250 0.0124  2 Cu 2.35, 2 Zn 2.43
Se: 0.3750 0.3874 0.5124  2 Cu 2.35, 2 Zn 2.43
Se: 0.6126 0.1250 0.9876  2 Cu 2.35, 2 Zn 2.43
Se: 0.8750 0.8626 0.4876  2 Cu 2.35, 2 Zn 2.43